[1]
Material: CsKRb3
Method: DFT, PBE
State: optimized geometry

Geometry as CIF:
```
data_CsKRb3
_space_group_name_H-M_alt 'P m -3 m'
_space_group_IT_number 221
_space_group_name_Hall '-P 4 2 3'
_cell_length_a 8.1419
_cell_length_b 8.1419
_cell_length_c 8.1419
_cell_angle_alpha 90.00
_cell_angle_beta 90.00
_cell_angle_gamma 90.00
loop_
_atom_site_label
_atom_site_type_symbol
_atom_site_fract_x
_atom_site_fract_y
_atom_site_fract_z
_atom_site_occupancy
Cs1 Cs 0.0000 0.0000 0.0000 1
K1 K 0.5000 0.5000 0.5000 1
Rb1 Rb 0.0000 0.5000 0.5000 1
```

Computed properties:
The density is 1318 kg/m³. Its excess energy over the best structure of this formula in the dataset is 111 meV per atom. The value obtained for the final energy is -0.85 eV/atom. The value obtained for the volume is 540 Å³ per cell.


[2]
Material: Nd6CdIr2
Method: DFT, PBE
State: optimized geometry

Geometry as CIF:
```
data_Nd6CdIr2
_space_group_name_H-M_alt 'C 1 2/m 1'
_space_group_IT_number 12
_space_group_name_Hall '-C 2y'
_cell_length_a 10.5203
_cell_length_b 5.1440
_cell_length_c 9.4699
_cell_angle_alpha 90.00
_cell_angle_beta 101.74
_cell_angle_gamma 90.00
loop_
_atom_site_label
_atom_site_type_symbol
_atom_site_fract_x
_atom_site_fract_y
_atom_site_fract_z
_atom_site_occupancy
Nd1 Nd 0.0365 0.0000 0.3479 1
Nd2 Nd 0.1609 0.5000 0.8891 1
Nd3 Nd 0.2107 0.5000 0.3341 1
Cd1 Cd 0.0000 0.0000 0.0000 1
Ir1 Ir 0.1214 0.5000 0.5967 1
```

Computed properties:
The density is 9017 kg/m³. The value obtained for the final energy is -5.61 eV/atom. The value obtained for the volume is 502 Å³ per cell.


[3]
Material: ZnCdBr
Method: DFT, PBE
State: optimized geometry

Geometry as CIF:
```
data_ZnCdBr
_space_group_name_H-M_alt 'I 4 m m'
_space_group_IT_number 107
_space_group_name_Hall 'I 4 -2'
_cell_length_a 3.4951
_cell_length_b 3.4951
_cell_length_c 11.4106
_cell_angle_alpha 90.00
_cell_angle_beta 90.00
_cell_angle_gamma 90.00
loop_
_atom_site_label
_atom_site_type_symbol
_atom_site_fract_x
_atom_site_fract_y
_atom_site_fract_z
_atom_site_occupancy
Zn1 Zn 0.0000 0.0000 0.0000 1
Cd1 Cd 0.0000 0.0000 0.6358 1
Br1 Br 0.0000 0.0000 0.3290 1
```

Computed properties:
The density is 6140 kg/m³. Its excess energy over the best structure of this formula in the dataset is 120 meV per atom. The value obtained for the final energy is -1.37 eV/atom. For the formation energy from raw total energies, the calculation gives -0.08 eV/atom. The value obtained for the volume is 139 Å³ per cell.


[4]
Material: CaRe2Pt
Method: DFT, PBE
State: optimized geometry

Geometry as CIF:
```
data_CaRe2Pt
_space_group_name_H-M_alt 'P m m m'
_space_group_IT_number 47
_space_group_name_Hall '-P 2 2'
_cell_length_a 2.6828
_cell_length_b 4.5563
_cell_length_c 5.9037
_cell_angle_alpha 90.00
_cell_angle_beta 90.00
_cell_angle_gamma 90.00
loop_
_atom_site_label
_atom_site_type_symbol
_atom_site_fract_x
_atom_site_fract_y
_atom_site_fract_z
_atom_site_occupancy
Ca1 Ca 0.0000 0.0000 0.0000 1
Re1 Re 0.5000 0.5000 0.2965 1
Pt1 Pt 0.0000 0.0000 0.5000 1
```

Computed properties:
The density is 13980 kg/m³. Its excess energy over the best structure of this formula in the dataset is 443 meV per atom. The value obtained for the final energy is -7.70 eV/atom. The value obtained for the volume is 72 Å³ per cell.


The highest final energy belongs to which entry? CsKRb3